Density functional theory data (PBE) for HfTh4Rh15 after structural relaxation.

Results
Energy of formation from the pure elements = -69 kJ per mole of atoms
Space-group type = P4/mmm
M_tot = 0.00 μB/f.u.

abc: 4.0871 4.0871 20.5759
angles: 90.00 90.00 90.00
Last column: nearest neighbours and their distance in Å.
Fractional coordinates of all 20 atoms:
Hf1 0.0000 0.0000 0.0000  12 Rh 2.77-2.89
Th1 0.0000 0.0000 0.1948  12 Rh 2.89-2.95
Th2 0.0000 0.0000 0.3982  12 Rh 2.89-2.93
Th3 0.0000 0.0000 0.6018  12 Rh 2.89-2.93
Th4 0.0000 0.0000 0.8052  12 Rh 2.89-2.95
Rh1 0.0000 0.5000 0.0912  2 Hf 2.77, 8 Rh 2.77-2.94, 2 Th 2.95
Rh2 0.0000 0.5000 0.2965  8 Rh 2.89-2.94, 4 Th 2.92
Rh3 0.0000 0.5000 0.5000  8 Rh 2.89-2.93, 4 Th 2.93
Rh4 0.0000 0.5000 0.7035  8 Rh 2.89-2.94, 4 Th 2.92
Rh5 0.0000 0.5000 0.9088  2 Hf 2.77, 8 Rh 2.77-2.94, 2 Th 2.95
Rh6 0.5000 0.0000 0.0912  2 Hf 2.77, 8 Rh 2.77-2.94, 2 Th 2.95
Rh7 0.5000 0.0000 0.2965  8 Rh 2.89-2.94, 4 Th 2.92
Rh8 0.5000 0.0000 0.5000  8 Rh 2.89-2.93, 4 Th 2.93
Rh9 0.5000 0.0000 0.7035  8 Rh 2.89-2.94, 4 Th 2.92
Rh10 0.5000 0.0000 0.9088  2 Hf 2.77, 8 Rh 2.77-2.94, 2 Th 2.95
Rh11 0.5000 0.5000 0.0000  8 Rh 2.77, 4 Hf 2.89
Rh12 0.5000 0.5000 0.1939  4 Th 2.89, 8 Rh 2.94
Rh13 0.5000 0.5000 0.3983  4 Th 2.89, 8 Rh 2.93
Rh14 0.5000 0.5000 0.6017  4 Th 2.89, 8 Rh 2.93
Rh15 0.5000 0.5000 0.8061  4 Th 2.89, 8 Rh 2.94